A plane-wave DFT calculation with GGA+U was carried out for an optimized crystal structure of ZrMnP2O.

Cell lengths 4.6784, 4.6784, 3.6606 Å; angles 90.00, 90.00, 90.00 degrees
Closest atoms and distances in Å follow each position.
Positions (direct):
Mn 0.0000 0.0000 0.0000  2 O 1.83
P 0.5000 0.0000 0.0000  2 Mn 2.34
Zr 0.5000 0.5000 0.5000  8 P 2.97, 4 O 3.31
P 0.0000 0.5000 0.0000  2 Mn 2.34
O 0.0000 0.0000 0.5000  2 Mn 1.83

Properties
The value obtained for the total energy is -6.694 eV per atom. Its size of the total moment is 3.13 μB per formula unit.